Computed, not measured: La2Sm6YHo after structural relaxation at the PBE level of DFT.

Calculated values
D(E_F), states/eV per cell: 60.35
E_form, eV per atom: 0.115
V, Å³/cell: 1373

```
data_La2Sm6YHo
_chemical_formula_sum 'La8 Sm24 Y4 Ho4'
_space_group_name_H-M_alt 'C 1 2/c 1'
_space_group_IT_number 15
_space_group_name_Hall '-C 2yc'
_cell_length_a 9.1189
_cell_length_b 15.2862
_cell_length_c 9.9898
_cell_angle_alpha 90.00
_cell_angle_beta 99.72
_cell_angle_gamma 90.00
loop_
_atom_site_label
_atom_site_type_symbol
_atom_site_fract_x
_atom_site_fract_y
_atom_site_fract_z
La1 La 0.2455 0.0518 0.0405
Sm1 Sm 0.0657 0.1914 0.4439
Sm2 Sm 0.1051 0.3970 0.6210
Sm3 Sm 0.1989 0.2200 0.8103
Y1 Y 0.0000 0.0137 0.7500
Ho1 Ho 0.0000 0.4055 0.2500
```